No. 1
VASP calculation (GGA-PBE) on crystalline Ca2BiAu2 at its relaxed geometry.

a = 7.974 Å, b = 7.974 Å, c = 3.636 Å
α = 90.00°, β = 90.00°, γ = 145.85°
Fractional coordinates of all 5 atoms:
Ca  0.132  0.868  0.000
Ca  0.868  0.132  0.000
Bi  0.500  0.500  0.500
Au  0.301  0.699  0.500
Au  0.699  0.301  0.500

Output
Energy of formation from the pure elements in kJ/mol of atoms: -75.0
Relative energy among the computed polymorphs in meV per atom: 0.0
Volume in Å³ per cell: 129.8
Total magnetization in μB/f.u.: 0.00

No. 2
VASP calculation (GGA-PBE) on crystalline Cu2BSbTe at its relaxed geometry.

a = 4.712 Å, b = 4.712 Å, c = 6.196 Å
α = 90.00°, β = 90.00°, γ = 90.00°
Fractional coordinates of all 5 atoms:
Cu  0.000  0.500  0.000
Cu  0.500  0.000  0.000
B  0.000  0.000  0.500
Sb  0.500  0.500  0.500
Te  0.500  0.500  0.000

Output
Relative energy among the computed polymorphs in meV per atom: 131.0
Volume in Å³ per cell: 137.6
Total magnetization in μB/f.u.: 0.00

No. 3
VASP calculation (GGA-PBE) on crystalline VS5Cl4 at its relaxed geometry.

a = 7.791 Å, b = 11.296 Å, c = 7.195 Å
α = 90.00°, β = 94.98°, γ = 90.00°
Fractional coordinates of all 20 atoms:
V  0.000  0.235  0.250
V  0.000  0.765  0.750
S  0.137  0.288  0.551
S  0.137  0.712  0.051
S  0.396  0.297  0.549
S  0.396  0.703  0.049
S  0.500  0.180  0.750
S  0.500  0.820  0.250
S  0.604  0.297  0.951
S  0.604  0.703  0.451
S  0.863  0.288  0.949
S  0.863  0.712  0.449
Cl  0.178  0.364  0.110
Cl  0.178  0.636  0.610
Cl  0.199  0.096  0.245
Cl  0.199  0.904  0.745
Cl  0.801  0.096  0.255
Cl  0.801  0.904  0.755
Cl  0.822  0.364  0.390
Cl  0.822  0.636  0.890

Output
Raw total energy in eV/f.u.: -41.2
Volume in Å³ per cell: 630.8
Total magnetization in μB/f.u.: 0.00

No. 4
VASP calculation (GGA-PBE) on crystalline Tb2HoUO8 at its relaxed geometry.

a = 3.860 Å, b = 5.344 Å, c = 7.542 Å
α = 90.00°, β = 90.00°, γ = 90.00°
Fractional coordinates of all 12 atoms:
Tb  0.000  0.000  0.249
Tb  0.000  0.000  0.751
Ho  0.500  0.500  0.000
U  0.500  0.500  0.500
O  0.000  0.252  0.000
O  0.000  0.269  0.500
O  0.000  0.731  0.500
O  0.000  0.748  0.000
O  0.500  0.260  0.271
O  0.500  0.260  0.729
O  0.500  0.740  0.271
O  0.500  0.740  0.729

Output
Raw total energy in eV/f.u.: -104.2
Volume in Å³ per cell: 155.6
Total magnetization in μB/f.u.: 0.00

No. 5
VASP calculation (GGA-PBE) on crystalline YCdNiGe2 at its relaxed geometry.

a = 4.945 Å, b = 4.945 Å, c = 5.635 Å
α = 90.00°, β = 90.00°, γ = 90.00°
Fractional coordinates of all 5 atoms:
Y  0.000  0.000  0.000
Cd  0.000  0.000  0.500
Ni  0.500  0.500  0.000
Ge  0.000  0.500  0.500
Ge  0.500  0.000  0.500

Output
Energy of formation from the pure elements in kJ/mol of atoms: 101.6
Volume in Å³ per cell: 137.8
Total magnetization in μB/f.u.: 0.52